# 1
A relaxed RbHg3Pt crystal. Source: Alexandria, functional GGA-PBE.

The structure in extended XYZ format:
```
10
Lattice="0.127 1.229 4.508 -3.922 0.589 -2.473 -6.267 -19.120 5.388" Properties=species:S:1:pos:R:3 pbc="T T T"
Rb 0.000 0.000 0.000
Rb -3.133 -9.560 2.694
Hg -1.567 -4.780 1.347
Hg -4.700 -14.340 4.041
Hg -8.092 -16.038 4.599
Hg -6.453 -11.038 3.190
Hg -3.609 -6.265 4.232
Hg -1.970 -1.265 2.823
Pt -7.272 -13.538 3.895
Pt -2.789 -3.765 3.528
```

Calculated values
- Fermi-level density of states (states/eV per cell) = 1.9
- formation energy (eV per formula unit) = 0.04
- total magnetization (μB per formula unit) = 0.000

***

# 2
A relaxed CsNpPtS2 crystal. Source: Alexandria, functional GGA-PBE.

The structure in extended XYZ format:
```
10
Lattice="4.828 0.000 0.000 0.000 8.327 0.547 0.000 -2.012 7.351" Properties=species:S:1:pos:R:3 pbc="T T T"
Cs 0.929 2.654 5.787
Cs 3.899 3.661 2.111
Np 2.382 -0.503 1.838
Np 2.446 -1.509 5.513
Pt 0.000 0.000 0.000
Pt 0.000 -1.006 3.676
S 3.333 4.572 7.445
S 3.333 0.737 4.129
S 1.495 5.578 3.769
S 1.495 1.743 0.453
```

Calculated values
- Fermi-level density of states (states/eV per cell) = 15.5
- formation energy from raw total energies (eV/atom) = -0.999
- total magnetization (μB per formula unit) = 3.961

***

# 3
A relaxed TiFeOs2 crystal. Source: Alexandria, functional GGA-PBE.

The structure in extended XYZ format:
```
8
Lattice="-2.922 0.690 -2.347 -1.252 -3.563 0.512 -6.851 1.201 5.790" Properties=species:S:1:pos:R:3 pbc="T T T"
Os -3.810 0.313 -0.047
Os -2.746 -1.867 1.566
Os -6.654 -0.037 3.634
Os -8.840 -1.753 2.757
Fe 0.000 0.000 0.000
Fe -5.930 0.227 1.263
Ti -2.087 -1.436 -0.918
Ti -5.095 -1.899 2.692
```

Calculated values
- Fermi-level density of states (states/eV per cell) = 8.9
- formation energy (eV per formula unit) = 2.12
- total magnetization (μB per formula unit) = 1.635

***

# 4
A relaxed CeSm5Rh4 crystal. Source: Alexandria, functional GGA-PBE.

The structure in extended XYZ format:
```
10
Lattice="-0.858 -3.536 -1.940 6.188 -3.368 3.400 -6.372 0.444 6.392" Properties=species:S:1:pos:R:3 pbc="T T T"
Ce -0.429 -1.768 -0.970
Sm -0.936 -4.844 4.862
Sm -4.065 -3.131 3.123
Sm 3.023 -3.329 4.729
Sm 2.665 -3.452 0.730
Sm -0.106 -1.615 2.990
Rh 0.984 -3.871 6.619
Rh -2.567 -5.621 6.998
Rh -2.026 -2.589 1.233
Rh 1.524 -0.839 0.854
```

Calculated values
- Fermi-level density of states (states/eV per cell) = 6.6
- formation energy (eV per formula unit) = -5.75
- total magnetization (μB per formula unit) = 0.000